Record 1
VASP calculation (PBE) on a geometry-optimized LiRe2Os structure.

Crystal system: orthorhombic
M_tot in Bohr magnetons per cell: 0.0
VASP energy in eV/atom: -9.0976
Formation energy in eV/atom: 0.4124

```
LiRe2Os
1.0
2.6710 0.0010 0.0000
-1.1693 2.4014 0.0000
0.0000 0.0000 9.3285
Li Os Re
1 1 2
Direct
0.5000 0.5000 0.2500
0.5000 0.5000 0.7500
0.0000 0.0000 0.9937
0.0000 0.0000 0.5063
```


Record 2
VASP calculation (PBE) on a geometry-optimized LiReOs2 structure.

Crystal system: orthorhombic
M_tot in Bohr magnetons per cell: 0.0
VASP energy in eV/atom: -8.7560
Excess energy over the best structure of this formula in the dataset in meV per atom: 333
Formation energy in eV/atom: 0.4494

```
LiReOs2
1.0
-1.3271 1.8141 -1.4336
-1.0936 -2.4260 0.1613
-4.6426 2.5972 7.5845
Li Os Re
1 2 1
Direct
0.5000 0.5000 0.7536
0.0000 0.0000 0.0008
0.5000 0.5000 0.2512
0.0000 0.0000 0.4944
```


Record 3
VASP calculation (PBE) on a geometry-optimized LiReOs2 structure.

Crystal system: orthorhombic
M_tot in Bohr magnetons per cell: 0.0
VASP energy in eV/atom: -8.9077
Excess energy over the best structure of this formula in the dataset in meV per atom: 181
Formation energy in eV/atom: 0.2977

```
LiReOs2
1.0
5.0321 -0.0014 0.0047
2.2578 4.4971 -0.0047
-3.0771 -3.1686 2.4111
Li Os Re
1 2 1
Direct
0.2500 0.7500 0.5000
0.0063 0.0063 0.0000
0.4937 0.4937 0.0000
0.7500 0.2500 0.5000
```


Record 4
VASP calculation (PBE) on a geometry-optimized LiReOs2 structure.

Crystal system: orthorhombic
M_tot in Bohr magnetons per cell: 0.0
VASP energy in eV/atom: -8.8360
Excess energy over the best structure of this formula in the dataset in meV per atom: 253
Formation energy in eV/atom: 0.3693

```
LiReOs2
1.0
2.6801 0.0000 0.0000
-1.2060 2.3935 0.0000
0.0000 0.0000 9.1314
Li Os Re
1 2 1
Direct
0.5000 0.5000 0.7500
0.0000 0.0000 0.0026
0.0000 0.0000 0.4974
0.5000 0.5000 0.2500
```


Record 5
VASP calculation (PBE) on a geometry-optimized LiReOs2 structure.

Crystal system: monoclinic
M_tot in Bohr magnetons per cell: 0.0
VASP energy in eV/atom: -8.9477
Excess energy over the best structure of this formula in the dataset in meV per atom: 141
Formation energy in eV/atom: 0.2577

```
LiReOs2
1.0
-3.8959 0.3576 -0.9535
-0.4039 -2.5640 0.6888
-1.2876 -0.1585 5.2017
Li Os Re
1 2 1
Direct
0.5000 0.7429 0.7558
0.0000 0.9599 0.9818
0.5000 0.2648 0.2546
0.0000 0.5324 0.5078
```


Record 6
VASP calculation (PBE) on a geometry-optimized LiRe2Os2 structure.

Crystal system: tetragonal
M_tot in Bohr magnetons per cell: 0.0
VASP energy in eV/atom: -9.6341
Excess energy over the best structure of this formula in the dataset in meV per atom: 3
Formation energy in eV/atom: 0.2198

```
LiRe2Os2
1.0
-1.1775 2.8868 7.0533
5.5560 -4.5601 2.7939
1.8359 1.9385 -0.4869
Re Os Li
4 4 2
Direct
0.3779 0.8779 0.0000
0.8779 0.6221 0.0000
0.6221 0.1221 0.0000
0.1221 0.3779 0.0000
0.1673 0.6673 0.5000
0.6673 0.8327 0.5000
0.8327 0.3327 0.5000
0.3327 0.1673 0.5000
0.0000 0.0000 0.0000
0.5000 0.5000 0.0000
```


Record 7
VASP calculation (PBE) on a geometry-optimized LiReOs2 structure.

Crystal system: orthorhombic
M_tot in Bohr magnetons per cell: 0.0
VASP energy in eV/atom: -8.9591
Excess energy over the best structure of this formula in the dataset in meV per atom: 130
Formation energy in eV/atom: 0.2463

```
LiReOs2
1.0
-0.0024 2.2136 -1.6107
-2.6041 -1.6454 -2.2575
-3.8651 2.1170 2.9154
Li Os Re
1 2 1
Direct
0.5000 0.5000 0.7500
0.0000 0.0000 0.9850
0.0000 0.0000 0.5150
0.5000 0.5000 0.2500
```


Record 8
VASP calculation (PBE) on a geometry-optimized LiRe2Os structure.

Crystal system: orthorhombic
M_tot in Bohr magnetons per cell: 0.0
VASP energy in eV/atom: -9.1655
Formation energy in eV/atom: 0.3445

```
LiRe2Os
1.0
2.6724 0.0130 0.0000
-1.1555 2.4097 0.0000
0.0000 0.0000 9.2062
Li Os Re
1 1 2
Direct
0.0000 0.0000 0.5031
0.5000 0.5000 0.7524
0.0000 0.0000 0.9995
0.5000 0.5000 0.2450
```